Compound: Y8P3S4N
Source: the Alexandria database
Functional: PBE-GGA
Structure: relaxed

Unit cell a=7.7971 b=7.8529 c=7.7972 alpha=119.77 beta=120.00 gamma=90.00
Closest atoms and distances in Å follow each position.
Sites, in units of the cell vectors:
1 Y 0.2332 0.7282 0.9950  1 N 2.58, 2 P 2.74, 2 S 2.80
2 Y 0.2331 0.7281 0.4663  1 N 2.58, 2 P 2.74, 2 S 2.80
3 Y 0.2526 0.2577 0.5051  3 P 2.74, 3 S 2.80
4 Y 0.7619 0.7282 0.9950  1 N 2.58, 2 P 2.74, 2 S 2.80
5 Y 0.2381 0.2718 0.0050  1 N 2.58, 2 P 2.74, 2 S 2.80
6 Y 0.7474 0.7423 0.4949  3 P 2.74, 3 S 2.80
7 Y 0.7669 0.2719 0.5337  1 N 2.58, 2 P 2.74, 2 S 2.80
8 Y 0.7668 0.2718 0.0050  1 N 2.58, 2 P 2.74, 2 S 2.80
9 P 0.5000 0.5000 0.0000  6 Y 2.74
10 P 0.5000 0.5000 0.5000  6 Y 2.74
11 P 0.0000 0.5000 0.5000  6 Y 2.74
12 S 0.5000 0.0000 0.0000  6 Y 2.95
13 S 0.5000 0.0000 0.5000  6 Y 2.80
14 S 0.0000 0.0000 0.0000  6 Y 2.80
15 S 0.0000 0.0000 0.5000  6 Y 2.80
16 N 0.0000 0.5000 0.0000  6 Y 2.58

Results
E_form (uncorrected): -1829.9 meV per atom
SG: R-3m (166)
final energy: -7.629 eV per atom